Fe2PdF: optimized geometry, PBE+U.

Total energy (eV/atom): -4.768
N(E_F) (states/eV/cell): 8.3
M_tot (μB/cell): 29.485
Distance to the lowest polymorph of the same formula (kJ per mole of atoms): 0.0

Unit cell a=6.3788 b=6.3788 c=5.7694 alpha=90.00 beta=90.00 gamma=90.00
Closest atoms and distances in Å follow each position.
Space group I-42d (No. 122)
Unique sites:
Fe (0.2025, 0.2500, 0.1250) (multiplicity 8)  2 F 2.18
Pd (0.0000, 0.0000, 0.5000) (multiplicity 4)  4 Fe 2.58, 2 F 2.88
F (0.0000, 0.0000, 0.0000) (multiplicity 4)  4 Fe 2.18